Entry 1:
The following is a PBE calculation of crystalline ScMnZn2Cr at its relaxed geometry, from Alexandria.

DFT formation energy   1.0640 eV per atom

Lattice parameters (Å, degrees): 4.645 4.645 4.297 90.00 90.00 90.00
Space group P4/mmm (No. 123)
Unique sites:
1 Sc 0.000 0.000 0.000 [1 per cell]
2 Mn 0.000 0.000 0.500 [1 per cell]
3 Zn 0.000 0.500 0.500 [2 per cell]
4 Cr 0.500 0.500 0.000 [1 per cell]

=====

Entry 2:
The following is a PBE calculation of crystalline ZrScMnCr at its relaxed geometry, from Alexandria.

DFT formation energy   0.1340 eV per atom

Lattice parameters (Å, degrees): 6.485 6.485 6.485 90.00 90.00 90.00
Space group F-43m (No. 216)
Unique sites:
1 Zr 0.000 0.000 0.000 [4 per cell]
2 Sc 0.000 0.000 0.500 [4 per cell]
3 Mn 0.250 0.250 0.750 [4 per cell]
4 Cr 0.250 0.250 0.250 [4 per cell]

=====

Entry 3:
The following is a PBE calculation of crystalline MnCrSe2 at its relaxed geometry, from Alexandria.

Energy relative to the elements, uncorrected   28 kJ/mol of atoms

Lattice parameters (Å, degrees): 3.0671 3.0671 23.5442 90.00 90.00 120.00
Space group R-3m (No. 166, hexagonal axes)
Unique sites:
1 Mn 0.0000 0.0000 0.0000 [3 per cell]
2 Cr 0.0000 0.0000 0.5000 [3 per cell]
3 Se 0.0000 0.0000 0.0964 [6 per cell]

=====

Entry 4:
The following is a PBE calculation of crystalline MnCrSe2 at its relaxed geometry, from Alexandria.

Energy relative to the elements, uncorrected   -4 kJ/mol of atoms

Lattice parameters (Å, degrees): 2.933 2.933 7.827 90.00 90.00 90.00
Space group P4mm (No. 99)
Unique sites:
1 Mn 0.000 0.000 0.000 [1 per cell]
2 Cr 0.500 0.500 0.782 [1 per cell]
3 Se 0.000 0.000 0.611 [1 per cell]
4 Se 0.500 0.500 0.161 [1 per cell]